No. 1
# CoSi2Sb | Alexandria via LeMat-Bulk | PBE | optimized geometry
data_CoSi2Sb
_symmetry_space_group_name_H-M 'I 4/m m m'
_symmetry_Int_Tables_number 139
_symmetry_space_group_name_Hall '-I 4 2'
_cell_length_a 4.041
_cell_length_b 4.041
_cell_length_c 7.873
_cell_angle_alpha 90.00
_cell_angle_beta 90.00
_cell_angle_gamma 90.00
loop_
_atom_site_label
_atom_site_fract_x
_atom_site_fract_y
_atom_site_fract_z
_atom_site_occupancy
Co1 0.000 0.000 0.000 1
Si1 0.000 0.500 0.250 1
Sb1 0.000 0.000 0.500 1
# Calculated density ... 6.12 Mg/m³
# E ... -4.955 eV/atom
# Formation energy (no corrections) ... 563 meV per atom
# Volume ... 16.07 A^3/atom
# M_tot ... 0.0 μB/cell

---

No. 2
# PrBeSb2O8 | Alexandria via LeMat-Bulk | PBE | optimized geometry
data_PrBeSb2O8
_symmetry_space_group_name_H-M 'P -1'
_symmetry_Int_Tables_number 2
_cell_length_a 4.954
_cell_length_b 4.955
_cell_length_c 6.359
_cell_angle_alpha 92.58
_cell_angle_beta 92.59
_cell_angle_gamma 97.17
loop_
_symmetry_equiv_pos_as_xyz
'x,y,z'
'-x,-y,-z'
loop_
_atom_site_label
_atom_site_fract_x
_atom_site_fract_y
_atom_site_fract_z
_atom_site_occupancy
Pr1 0.000 0.000 0.000 1
Be1 0.000 0.000 0.500 1
Sb1 0.484 0.484 0.736 1
O1 0.182 0.182 0.699 1
O2 0.217 0.216 0.289 1
O3 0.313 0.686 0.500 1
O4 0.331 0.668 0.000 1
# Calculated density ... 5.60 Mg/m³
# E ... -6.385 eV/atom
# Formation energy (no corrections) ... -1683 meV per atom
# Volume ... 12.88 A^3/atom
# M_tot ... 1.0 μB/cell

---

No. 3
# Ti6FeCo3 | Alexandria via LeMat-Bulk | PBE | optimized geometry
data_Ti6FeCo3
_symmetry_space_group_name_H-M 'P 1 21/m 1'
_symmetry_Int_Tables_number 11
_cell_length_a 7.279
_cell_length_b 4.253
_cell_length_c 9.604
_cell_angle_alpha 90.00
_cell_angle_beta 109.82
_cell_angle_gamma 90.00
loop_
_symmetry_equiv_pos_as_xyz
'x,y,z'
'-x,-y,-z'
'-x,y+1/2,-z'
'x,-y+1/2,z'
loop_
_atom_site_label
_atom_site_fract_x
_atom_site_fract_y
_atom_site_fract_z
_atom_site_occupancy
Ti1 0.018 0.250 0.396 1
Ti2 0.166 0.750 0.192 1
Ti3 0.255 0.250 0.012 1
Ti4 0.336 0.750 0.820 1
Ti5 0.360 0.250 0.632 1
Ti6 0.397 0.250 0.357 1
Fe1 0.459 0.750 0.096 1
Co1 0.035 0.750 0.905 1
Co2 0.121 0.250 0.741 1
Co3 0.269 0.750 0.466 1
# Calculated density ... 6.17 Mg/m³
# E ... -7.992 eV/atom
# Energy relative to the elements ... -0.277 eV/atom
# Volume ... 13.99 A^3/atom
# M_tot ... 0.0 μB/cell

---

No. 4
# ZnAgSb | Alexandria via LeMat-Bulk | PBE | optimized geometry
data_ZnAgSb
_symmetry_space_group_name_H-M 'I 4 m m'
_symmetry_Int_Tables_number 107
_symmetry_space_group_name_Hall 'I 4 -2'
_cell_length_a 3.940
_cell_length_b 3.940
_cell_length_c 8.202
_cell_angle_alpha 90.00
_cell_angle_beta 90.00
_cell_angle_gamma 90.00
loop_
_atom_site_label
_atom_site_fract_x
_atom_site_fract_y
_atom_site_fract_z
_atom_site_occupancy
Zn1 0.000 0.000 0.000 1
Ag1 0.000 0.000 0.320 1
Sb1 0.000 0.000 0.664 1
# Calculated density ... 7.70 Mg/m³
# E ... -2.612 eV/atom
# Formation energy (no corrections) ... 137 meV per atom
# Volume ... 21.22 A^3/atom
# M_tot ... 0.0 μB/cell

---

No. 5
# CuO | Alexandria via LeMat-Bulk | PBE | optimized geometry
data_CuO
_symmetry_space_group_name_H-M 'F m -3 m'
_symmetry_Int_Tables_number 225
_symmetry_space_group_name_Hall '-F 4 2 3'
_cell_length_a 4.233
_cell_length_b 4.233
_cell_length_c 4.233
_cell_angle_alpha 90.00
_cell_angle_beta 90.00
_cell_angle_gamma 90.00
loop_
_atom_site_label
_atom_site_fract_x
_atom_site_fract_y
_atom_site_fract_z
_atom_site_occupancy
Cu1 0.000 0.000 0.000 1
O1 0.000 0.000 0.500 1
# Calculated density ... 6.97 Mg/m³
# E ... -4.952 eV/atom
# Formation energy (no corrections) ... -425 meV per atom
# Volume ... 9.48 A^3/atom
# M_tot ... 0.0 μB/cell

---

No. 6
# Ti2FeAu | Alexandria via LeMat-Bulk | PBE | optimized geometry
data_Ti2FeAu
_symmetry_space_group_name_H-M 'P 4/m m m'
_symmetry_Int_Tables_number 123
_symmetry_space_group_name_Hall '-P 4 2'
_cell_length_a 2.912
_cell_length_b 2.912
_cell_length_c 7.105
_cell_angle_alpha 90.00
_cell_angle_beta 90.00
_cell_angle_gamma 90.00
loop_
_atom_site_label
_atom_site_fract_x
_atom_site_fract_y
_atom_site_fract_z
_atom_site_occupancy
Ti1 0.000 0.000 0.212 1
Fe1 0.500 0.500 0.000 1
Au1 0.500 0.500 0.500 1
# Calculated density ... 9.61 Mg/m³
# E ... -7.239 eV/atom
# Energy relative to the elements ... -0.357 eV/atom
# Volume ... 15.06 A^3/atom
# M_tot ... 0.0 μB/cell

---

No. 7
# SrLi2ZnCd4 | Alexandria via LeMat-Bulk | PBE | optimized geometry
data_SrLi2ZnCd4
_symmetry_space_group_name_H-M 'R -3 m'
_symmetry_Int_Tables_number 166
_symmetry_space_group_name_Hall '-R 3 2"'
_cell_length_a 4.6639
_cell_length_b 4.6639
_cell_length_c 29.7485
_cell_angle_alpha 90.00
_cell_angle_beta 90.00
_cell_angle_gamma 120.00
loop_
_atom_site_label
_atom_site_fract_x
_atom_site_fract_y
_atom_site_fract_z
_atom_site_occupancy
Sr1 0.0000 0.0000 0.0000 1
Li1 0.0000 0.0000 0.2311 1
Zn1 0.0000 0.0000 0.5000 1
Cd1 0.0000 0.0000 0.1327 1
Cd2 0.0000 0.0000 0.4050 1
# Calculated density ... 5.48 Mg/m³
# E ... -1.497 eV/atom
# Energy relative to the elements ... -0.192 eV/atom
# Volume ... 23.35 A^3/atom
# M_tot ... 0.0 μB/cell

---

No. 8
# Ca2Tl2Br | Alexandria via LeMat-Bulk | PBE | optimized geometry
data_Ca2Tl2Br
_symmetry_space_group_name_H-M 'P 4/m b m'
_symmetry_Int_Tables_number 127
_symmetry_space_group_name_Hall '-P 4 2ab'
_cell_length_a 7.958
_cell_length_b 7.958
_cell_length_c 5.069
_cell_angle_alpha 90.00
_cell_angle_beta 90.00
_cell_angle_gamma 90.00
loop_
_atom_site_label
_atom_site_fract_x
_atom_site_fract_y
_atom_site_fract_z
_atom_site_occupancy
Ca1 0.168 0.332 0.000 1
Tl1 0.136 0.636 0.500 1
Br1 0.000 0.000 0.000 1
# Calculated density ... 5.88 Mg/m³
# E ... -2.729 eV/atom
# Formation energy (no corrections) ... -647 meV per atom
# Volume ... 32.11 A^3/atom
# M_tot ... 0.0 μB/cell

---

Q: Which value of volume does entry 2 give?
A: 12.88 A^3/atom

---

Q: The highest calculated density belongs to which entry?
A: Ti2FeAu

---

Q: Number 2 is which compound?
A: PrBeSb2O8